The following is a PBE calculation of LiEuCdSn after structural relaxation, from Alexandria.

a b c (Å): 7.391 7.391 7.391
angles (deg): 90.00 90.00 90.00
Atoms (fractional coordinates):
Li1 0.000 0.000 0.000
Li2 0.000 0.500 0.500
Li3 0.500 0.000 0.500
Li4 0.500 0.500 0.000
Eu1 0.000 0.000 0.500
Eu2 0.000 0.500 0.000
Eu3 0.500 0.000 0.000
Eu4 0.500 0.500 0.500
Cd1 0.250 0.250 0.750
Cd2 0.250 0.750 0.250
Cd3 0.750 0.250 0.250
Cd4 0.750 0.750 0.750
Sn1 0.250 0.250 0.250
Sn2 0.250 0.750 0.750
Sn3 0.750 0.250 0.750
Sn4 0.750 0.750 0.250

Output
crystal system = cubic
formation enthalpy at 0 K = -0.416 eV/atom
space-group type = F-43m, No. 216